No. 1
Computed, not measured: crystalline Tl2NiRu at its relaxed geometry at the PBE-GGA level of DFT.

Cell: 3.107 3.107 8.556 Å, 90.00 90.00 115.53°
Each line ends with the local moment (μB).
Sites, in units of the cell vectors:
Tl 0.000 0.000 0.491  0.00
Tl 0.000 0.000 0.009  0.00
Ni 0.500 0.500 0.250  0.01
Ru 0.500 0.500 0.750  0.19

Excess energy over the best structure of this formula in the dataset = 76 kJ/mol of formula units
Crystal system = orthorhombic
Symmetry = No. 65

***

No. 2
Computed, not measured: crystalline AcYMgCu at its relaxed geometry at the PBE-GGA level of DFT.

Cell: 5.396 5.396 5.396 Å, 60.00 60.00 60.00°
Sites, in units of the cell vectors:
Y 0.500 0.500 0.500
Cu 0.250 0.250 0.250
Ac 0.000 0.000 0.000
Mg 0.750 0.750 0.750

Crystal system = cubic
Symmetry = No. 216
E = -4.065 eV per atom

***

No. 3
Computed, not measured: crystalline MnInAu2 at its relaxed geometry at the PBE-GGA level of DFT.

Cell: 5.054 5.054 4.573 Å, 73.88 73.88 41.87°
Each line ends with the local moment (μB).
Sites, in units of the cell vectors:
Au 0.750 0.750 0.735  0.04
Au 0.994 0.994 0.033  0.04
Mn 0.257 0.257 0.214  3.93
In 0.499 0.499 0.519  -0.02

Crystal system = monoclinic
Symmetry = No. 8
E = -4.655 eV per atom

***

No. 4
Computed, not measured: crystalline Sc2Tl2SbS6 at its relaxed geometry at the PBE-GGA level of DFT.

Cell: 6.590 6.590 7.889 Å, 98.16 98.16 120.07°
Sites, in units of the cell vectors:
S 0.727 0.727 0.688
S 0.935 0.599 0.311
S 0.065 0.401 0.689
S 0.401 0.065 0.689
S 0.599 0.935 0.311
S 0.273 0.273 0.312
Tl 0.169 0.831 0.000
Tl 0.831 0.169 0.000
Sb 0.000 0.000 0.500
Sc 0.668 0.332 0.500
Sc 0.332 0.668 0.500

Crystal system = monoclinic
Symmetry = No. 12
Raw formation energy = -1.036 eV/atom

***

No. 5
Computed, not measured: crystalline LiAc2InRh6 at its relaxed geometry at the PBE-GGA level of DFT.

Cell: 6.663 6.562 6.613 Å, 88.10 50.21 109.80°
Sites, in units of the cell vectors:
Rh 0.704 0.200 0.992
Rh 0.187 0.194 0.507
Rh 0.296 0.800 0.008
Rh 0.744 0.546 0.218
Rh 0.256 0.454 0.782
Rh 0.813 0.806 0.493
Li 0.000 0.000 0.000
In 0.500 0.500 0.000
Ac 0.258 0.769 0.489
Ac 0.742 0.231 0.511

Crystal system = triclinic
Symmetry = No. 2
E = -6.024 eV per atom

***

No. 6
Computed, not measured: crystalline MnZnCu at its relaxed geometry at the PBE-GGA level of DFT.

Cell: 4.081 4.081 4.081 Å, 60.00 60.00 60.00°
Each line ends with the local moment (μB).
Sites, in units of the cell vectors:
Cu 0.750 0.750 0.750  0.09
Zn 0.500 0.500 0.500  -0.07
Mn 0.000 0.000 0.000  3.70

Crystal system = cubic
Symmetry = No. 216
E = -4.503 eV per atom

***

No. 7
Computed, not measured: crystalline BaLiLa4 at its relaxed geometry at the PBE-GGA level of DFT.

Cell: 6.988 6.988 6.988 Å, 60.00 60.00 60.00°
Sites, in units of the cell vectors:
La 0.379 0.864 0.379
La 0.379 0.379 0.379
La 0.864 0.379 0.379
La 0.379 0.379 0.864
Li 0.750 0.750 0.750
Ba 0.000 0.000 0.000

Crystal system = cubic
Symmetry = No. 216
E = -3.596 eV per atom

***

Number 1: magnetic moment 0.20 Bohr magnetons per cell. Number 2: magnetic moment 0.00 Bohr magnetons per cell. Number 3: magnetic moment 4.21 Bohr magnetons per cell. Number 4: magnetic moment 0.00 Bohr magnetons per cell. Number 5: magnetic moment 0.00 Bohr magnetons per cell. Number 6: magnetic moment 3.79 Bohr magnetons per cell. Number 7: magnetic moment 0.00 Bohr magnetons per cell.